[1]
A plane-wave DFT calculation with GGA-PBEsol was carried out for crystalline MgAl2H8 at its relaxed geometry.

```
MgAl2H8
1.0
-3.636 -0.235 -3.683
0.171 -3.616 3.705
-3.511 3.179 3.264
H Al Mg
8 2 1
Direct
0.166 0.332 0.800
0.834 0.668 0.200
0.166 0.834 0.800
0.332 0.166 0.200
0.667 0.333 0.589
0.668 0.834 0.800
0.834 0.166 0.200
0.333 0.667 0.411
0.333 0.667 0.692
0.667 0.333 0.308
0.000 0.000 0.000
```

## Properties
- Offset from the most stable computed form: 1.3 kJ/mol of atoms
- Calculated total energy: -3.2777 eV/atom

---

[2]
A plane-wave DFT calculation with GGA-PBEsol was carried out for crystalline BaRhW at its relaxed geometry.

```
BaRhW
1.0
4.140 0.000 0.000
-2.070 3.586 0.000
0.000 0.000 5.273
W Ba Rh
1 1 1
Direct
0.667 0.333 0.528
0.000 0.000 0.003
0.333 0.667 0.469
```

## Properties
- Calculated total energy: -7.4244 eV/atom
- Calculated formation energy: 0.6073 eV/atom